(1)
Below is a relaxed Sm2Al4CuAg3 crystal, with properties calculated at the PBE level.

## Properties
As for the energy: -0.148 Ha/atom. Its space group is P-4m2 (115). As for the formation enthalpy at 0 K: -334.2 meV/atom.

Structure (POSCAR):
```
Sm2Al4CuAg3
1.0
-3.258 1.780 -2.224
-1.317 -3.938 -1.222
-6.258 -0.602 8.684
Al Sm Ag Cu
4 2 3 1
Cartesian
-5.545 0.513 4.322 Al
-2.288 -1.079 -1.723 Al
0.000 0.000 0.000 Al
-3.001 -2.194 2.639 Al
-5.304 -2.416 5.835 Sm
-3.242 0.735 1.126 Sm
-3.129 -0.301 4.342 Ag
-7.023 0.371 6.374 Ag
-1.522 -2.052 0.587 Ag
-5.416 -1.380 2.619 Cu
```



(2)
Below is a relaxed SrCoTc crystal, with properties calculated at the PBE level.

## Properties
As for the energy: -0.223 Ha/atom. Its space group is Pm (6). As for the formation enthalpy at 0 K: 307.7 meV/atom.

Structure (POSCAR):
```
SrCoTc
1.0
-3.159 -3.142 -6.240
-2.690 -2.119 2.428
-2.857 3.222 -0.353
Tc Sr Co
2 2 2
Cartesian
-6.153 -2.330 -2.799 Tc
-4.003 -1.211 -3.071 Tc
-6.678 -0.446 -5.365 Sr
-4.504 -1.109 0.092 Sr
-4.997 0.768 -2.444 Co
-4.222 -3.588 -1.759 Co
```



(3)
Below is a relaxed GdErBe4 crystal, with properties calculated at the PBE level.

## Properties
As for the energy: -0.202 Ha/atom. Its space group is F-43m (216). As for the formation enthalpy at 0 K: 84.3 meV/atom.

Structure (POSCAR):
```
GdErBe4
1.0
5.019 0.000 0.000
2.510 4.347 0.000
2.510 1.449 4.098
Er Be Gd
1 4 1
Cartesian
0.000 0.000 0.000 Er
3.756 3.627 2.565 Be
5.019 2.898 0.502 Be
5.019 1.440 2.565 Be
6.282 3.627 2.565 Be
2.510 1.449 1.025 Gd
```



(4)
Below is a relaxed TbGa4Cu2Ag crystal, with properties calculated at the PBE level.

## Properties
As for the energy: -0.136 Ha/atom. Its space group is R-3m (166). As for the formation enthalpy at 0 K: -227.9 meV/atom.

Structure (POSCAR):
```
TbGa4Cu2Ag
1.0
-3.859 1.566 0.730
-2.576 0.871 -3.238
-5.477 -7.583 -0.443
Tb Ga Cu Ag
1 4 2 1
Cartesian
0.000 0.000 0.000 Tb
-7.613 -0.533 -2.368 Ga
-6.989 -5.176 -1.353 Ga
-4.923 0.029 -1.597 Ga
-4.298 -4.613 -0.582 Ga
-3.035 -1.431 -0.731 Cu
-8.876 -3.715 -2.219 Cu
-5.956 -2.573 -1.475 Ag
```



(5)
Below is a relaxed La3Sm8Tm3 crystal, with properties calculated at the PBE level.

## Properties
As for the energy: -0.170 Ha/atom. Its space group is Immm (71). As for the formation enthalpy at 0 K: 96.5 meV/atom.

Structure (POSCAR):
```
La3Sm8Tm3
1.0
-5.172 2.361 -0.952
-2.359 -1.903 -9.350
-6.570 -5.349 4.983
Sm Tm La
8 3 3
Cartesian
-3.426 -1.723 -3.091 Sm
-10.675 -3.168 -2.227 Sm
-4.284 -2.425 -0.171 Sm
-9.817 -2.466 -5.147 Sm
-6.739 -3.243 -6.344 Sm
-7.362 -1.649 1.026 Sm
-5.521 -0.142 -5.241 Sm
-8.580 -4.749 -0.077 Sm
-7.051 -2.446 -2.659 Tm
-8.169 -5.310 -3.677 Tm
-5.932 0.419 -1.642 Tm
-5.803 -4.721 2.372 La
-3.126 -2.531 -6.738 La
-2.586 1.180 -0.476 La
```



(6)
Below is a relaxed Cu2SbW crystal, with properties calculated at the PBE level.

## Properties
As for the energy: -0.211 Ha/atom. Its formation energy without anion corrections is 573 meV/atom. Its space group is R-3m (166).

Structure (POSCAR):
```
Cu2SbW
1.0
9.006 -0.019 -0.011
8.532 2.882 -0.011
8.532 1.393 2.523
Cu Sb W
2 1 1
Cartesian
12.931 2.111 1.241 Cu
0.104 0.017 0.010 Cu
6.518 1.064 0.625 Sb
19.553 3.192 1.876 W
```



(7)
Below is a relaxed SnHgPdI2 crystal, with properties calculated at the PBE level.

## Properties
As for the energy: -0.079 Ha/atom. Its formation energy without anion corrections is 377 meV/atom. Its space group is P4/mmm (123).

Structure (POSCAR):
```
SnHgPdI2
1.0
-1.532 -1.275 5.768
5.907 -0.289 1.505
-0.037 5.437 1.192
Hg I Sn Pd
1 2 1 1
Cartesian
-0.019 2.719 0.596 Hg
-0.766 -0.637 2.884 I
2.953 -0.145 0.753 I
0.000 0.000 0.000 Sn
2.169 1.937 4.232 Pd
```



(8)
Below is a relaxed ErHfO crystal, with properties calculated at the PBE level.

## Properties
As for the energy: -0.301 Ha/atom. Its formation energy without anion corrections is -1701 meV/atom. Its space group is Cmcm (63).

Structure (POSCAR):
```
ErHfO
1.0
3.410 0.000 0.000
0.000 3.656 0.000
0.000 1.828 10.191
Er Hf O
2 2 2
Cartesian
2.558 3.656 1.595 Er
0.853 1.828 8.596 Er
0.853 1.828 3.986 Hf
2.558 3.656 6.206 Hf
0.853 3.656 7.471 O
2.558 1.828 2.721 O
```



(9)
Below is a relaxed Na2Li2Ga crystal, with properties calculated at the PBE level.

## Properties
As for the energy: -0.069 Ha/atom. Its space group is P4/mbm (127). As for the formation enthalpy at 0 K: 17.1 meV/atom.

Structure (POSCAR):
```
Na2Li2Ga
1.0
6.886 0.000 0.000
0.000 6.886 0.000
0.000 0.000 5.157
Na Li Ga
4 4 2
Cartesian
1.270 4.713 2.578 Na
2.173 1.270 2.578 Na
4.713 5.616 2.578 Na
5.616 2.173 2.578 Na
4.453 1.010 0.000 Li
5.876 4.453 0.000 Li
2.433 5.876 0.000 Li
1.010 2.433 0.000 Li
3.443 3.443 0.000 Ga
0.000 0.000 0.000 Ga
```



(10)
Below is a relaxed Sb4O5F2 crystal, with properties calculated at the PBE level.

## Properties
As for the energy: -0.208 Ha/atom. Its formation energy without anion corrections is -1561 meV/atom. Its space group is Pnma (62).

Structure (POSCAR):
```
Sb4O5F2
1.0
7.833 0.000 0.000
0.000 9.451 0.000
0.000 0.000 10.207
F O Sb
8 20 16
Cartesian
5.875 6.781 7.751 F
1.958 0.052 6.588 F
5.875 2.056 7.559 F
1.958 4.778 8.723 F
5.875 9.398 3.619 F
1.958 7.395 2.648 F
5.875 4.673 1.484 F
1.958 2.670 2.456 F
0.534 0.416 1.244 O
7.300 9.035 8.963 O
7.391 1.488 5.377 O
1.958 7.862 9.526 O
7.391 6.214 9.933 O
7.300 4.309 6.348 O
4.451 9.035 8.963 O
5.875 1.589 0.681 O
0.534 5.141 3.859 O
3.475 7.963 4.830 O
0.442 3.237 0.274 O
4.359 6.214 9.933 O
4.451 4.309 6.348 O
3.475 3.237 0.274 O
5.875 6.315 4.422 O
0.442 7.963 4.830 O
1.958 3.136 5.785 O
3.383 0.416 1.244 O
3.383 5.141 3.859 O
4.359 1.488 5.377 O
7.644 6.896 3.247 Sb
5.875 4.905 9.690 Sb
1.958 0.429 9.990 Sb
3.727 2.555 6.960 Sb
4.106 2.170 1.857 Sb
1.958 4.546 0.517 Sb
0.190 2.555 6.960 Sb
5.875 0.180 5.620 Sb
5.875 9.022 0.217 Sb
0.190 7.281 8.350 Sb
1.958 5.154 5.321 Sb
4.106 6.896 3.247 Sb
5.875 4.297 4.886 Sb
1.958 9.271 4.587 Sb
3.727 7.281 8.350 Sb
7.644 2.170 1.857 Sb
```



(11)
Below is a relaxed AcPr6Nd4 crystal, with properties calculated at the PBE level.

## Properties
As for the energy: -0.163 Ha/atom. Its space group is I-42m (121). As for the formation enthalpy at 0 K: 291.2 meV/atom.

Structure (POSCAR):
```
AcPr6Nd4
1.0
-5.148 -2.595 -8.429
8.202 -2.669 5.467
-0.065 -1.380 10.118
Nd Ac Pr
4 1 6
Cartesian
1.072 -2.499 2.598 Nd
0.028 -0.888 6.391 Nd
4.884 -5.621 10.239 Nd
5.143 -1.685 3.513 Nd
0.000 0.000 0.000 Ac
-1.740 -2.434 -2.417 Pr
3.630 -2.314 10.640 Pr
2.631 -3.166 5.553 Pr
-2.606 -1.987 0.844 Pr
6.606 -2.779 8.965 Pr
1.527 -2.632 -1.481 Pr
```



(12)
Below is a relaxed FeSn2PtBr crystal, with properties calculated at the PBE level.

## Properties
As for the energy: -0.132 Ha/atom. Its formation energy without anion corrections is 1256 meV/atom. Its space group is P4/mmm (123).

Structure (POSCAR):
```
FeSn2PtBr
1.0
5.369 0.000 0.000
0.000 4.702 0.000
0.000 0.000 5.369
Sn Br Pt Fe
2 1 1 1
Cartesian
2.684 0.000 0.000 Sn
0.000 0.000 2.684 Sn
0.000 0.000 0.000 Br
0.000 2.351 0.000 Pt
2.684 2.351 2.684 Fe
```